No. 1
Crystalline Nd2Ga8Ni at its relaxed geometry, computed with PBE.

The calculation puts the electronic total energy at -4.053 eV per atom. Its space group is P4/mmm (123).

Geometry as POSCAR:
```
Nd2Ga8Ni
1.0
4.330 0.000 0.000
0.000 4.330 0.000
0.000 0.000 11.262
Nd Ga Ni
2 8 1
Direct
0.000 0.000 0.193
0.000 0.000 0.807
0.000 0.500 0.000
0.000 0.500 0.383
0.000 0.500 0.617
0.500 0.000 0.000
0.500 0.000 0.383
0.500 0.000 0.617
0.500 0.500 0.192
0.500 0.500 0.808
0.000 0.000 0.500
```

No. 2
Crystalline Tm4InSi4Pd2 at its relaxed geometry, computed with PBE.

The calculation puts the electronic total energy at -5.658 eV per atom. Its space group is C2/m (12).

Geometry as POSCAR:
```
Tm4InSi4Pd2
1.0
7.721 -2.083 0.000
7.721 2.083 0.000
-2.154 0.000 6.651
Tm In Si Pd
4 1 4 2
Direct
0.084 0.084 0.378
0.156 0.156 0.923
0.844 0.844 0.077
0.916 0.916 0.622
0.500 0.500 0.000
0.308 0.308 0.759
0.438 0.438 0.347
0.562 0.562 0.653
0.692 0.692 0.241
0.281 0.281 0.370
0.719 0.719 0.630
```

No. 3
Crystalline PmNiPb at its relaxed geometry, computed with PBE.

The distance to the lowest polymorph of the same formula comes out at 0.170 eV/atom. Its space group is F-43m (216).

Geometry as POSCAR:
```
PmNiPb
1.0
0.000 3.464 3.464
3.464 0.000 3.464
3.464 3.464 0.000
Pm Ni Pb
1 1 1
Direct
0.000 0.000 0.000
0.750 0.750 0.750
0.250 0.250 0.250
```

No. 4
Crystalline ThZr2 at its relaxed geometry, computed with PBE.

The formation energy comes out at 0.2 eV per formula unit. Its space group is P-62m (189).

Geometry as POSCAR:
```
ThZr2
1.0
5.774 0.000 0.000
-2.887 5.000 0.000
0.000 0.000 5.438
Th Zr
2 4
Direct
0.333 0.667 0.000
0.667 0.333 0.000
0.000 0.000 0.000
0.000 0.314 0.500
0.314 0.000 0.500
0.686 0.686 0.500
```

No. 5
Crystalline DyYNCl2 at its relaxed geometry, computed with PBE.

The calculation puts the electronic total energy at -6.586 eV per atom. Its space group is P3m1 (156).

Geometry as POSCAR:
```
DyYNCl2
1.0
3.596 0.000 0.000
-1.798 3.115 0.000
0.000 0.000 10.069
Dy Y N Cl
1 1 1 2
Direct
0.000 0.000 0.000
0.667 0.333 0.742
0.333 0.667 0.872
0.000 0.000 0.565
0.667 0.333 0.176
```

No. 6
Crystalline AgP3O8 at its relaxed geometry, computed with PBE.

The calculation puts the electronic total energy at -6.593 eV per atom. Its space group is C2/m (12).

Geometry as POSCAR:
```
AgP3O8
1.0
3.785 -2.441 0.000
3.785 2.441 0.000
-0.135 0.000 7.171
Ag P O
1 3 8
Direct
0.000 0.000 0.000
0.000 0.000 0.500
0.355 0.355 0.705
0.645 0.645 0.295
0.218 0.218 0.540
0.221 0.733 0.669
0.267 0.779 0.331
0.292 0.292 0.899
0.708 0.708 0.101
0.733 0.221 0.669
0.779 0.267 0.331
0.782 0.782 0.460
```

No. 7
Crystalline PuMgPd at its relaxed geometry, computed with PBE.

The calculation puts the electronic total energy at -6.576 eV per atom. Its space group is F-43m (216).

Geometry as POSCAR:
```
PuMgPd
1.0
0.000 3.416 3.416
3.416 0.000 3.416
3.416 3.416 0.000
Pu Mg Pd
1 1 1
Direct
0.000 0.000 0.000
0.750 0.750 0.750
0.250 0.250 0.250
```

No. 8
Crystalline Y4Lu2Tl3N3 at its relaxed geometry, computed with PBE.

The calculation puts the electronic total energy at -6.603 eV per atom. Its space group is C2/c (15).

Geometry as POSCAR:
```
Y4Lu2Tl3N3
1.0
5.270 -3.044 0.000
5.270 3.044 0.000
-3.532 0.000 15.539
Y Lu Tl N
8 4 6 6
Direct
0.032 0.194 0.087
0.135 0.304 0.413
0.194 0.032 0.587
0.304 0.135 0.913
0.696 0.865 0.087
0.806 0.968 0.413
0.865 0.696 0.587
0.968 0.806 0.913
0.358 0.527 0.080
0.473 0.642 0.420
0.527 0.358 0.580
0.642 0.473 0.920
0.101 0.899 0.250
0.267 0.417 0.751
0.417 0.267 0.251
0.583 0.733 0.749
0.733 0.583 0.249
0.899 0.101 0.750
0.000 0.500 0.000
0.177 0.661 0.500
0.339 0.823 0.000
0.500 0.000 0.500
0.661 0.177 0.000
0.823 0.339 0.500
```

No. 9
Crystalline Ba2ZnW at its relaxed geometry, computed with PBE.

The calculation puts the electronic total energy at -3.426 eV per atom. Its space group is F-43m (216).

Geometry as POSCAR:
```
Ba2ZnW
1.0
0.000 3.887 3.887
3.887 0.000 3.887
3.887 3.887 0.000
Ba Zn W
2 1 1
Direct
0.000 0.000 0.000
0.250 0.250 0.250
0.750 0.750 0.750
0.500 0.500 0.500
```

No. 10
Crystalline SmTeAuO at its relaxed geometry, computed with PBE.

The distance to the lowest polymorph of the same formula comes out at 0.041 eV/atom. Its space group is P4/nmm (129).

Geometry as POSCAR:
```
SmTeAuO
1.0
4.101 0.000 0.000
0.000 4.101 0.000
0.000 0.000 9.999
Sm Te Au O
2 2 2 2
Direct
0.250 0.250 0.112
0.750 0.750 0.888
0.250 0.250 0.710
0.750 0.750 0.290
0.250 0.750 0.500
0.750 0.250 0.500
0.250 0.750 0.000
0.750 0.250 0.000
```

No. 11
Crystalline CsNdHf at its relaxed geometry, computed with PBE.

The distance to the lowest polymorph of the same formula comes out at 0.000 eV/atom. Its space group is F-43m (216).

Geometry as POSCAR:
```
CsNdHf
1.0
0.000 4.069 4.069
4.069 0.000 4.069
4.069 4.069 0.000
Cs Nd Hf
1 1 1
Direct
0.000 0.000 0.000
0.500 0.500 0.500
0.250 0.250 0.250
```

No. 12
Crystalline TbAlB14 at its relaxed geometry, computed with PBE.

The calculation puts the electronic total energy at -6.530 eV per atom. Its space group is Imma (74).

Geometry as POSCAR:
```
TbAlB14
1.0
-2.947 5.237 4.122
2.947 -5.237 4.122
2.947 5.237 -4.122
Tb Al B
2 2 28
Direct
0.399 0.149 0.250
0.601 0.851 0.750
0.000 0.000 0.500
0.000 0.500 0.000
0.014 0.872 0.142
0.031 0.204 0.332
0.031 0.700 0.828
0.077 0.666 0.410
0.201 0.534 0.667
0.223 0.499 0.398
0.223 0.825 0.724
0.230 0.872 0.358
0.244 0.334 0.910
0.367 0.534 0.833
0.372 0.204 0.672
0.372 0.700 0.168
0.398 0.175 0.898
0.398 0.501 0.224
0.602 0.499 0.776
0.602 0.825 0.102
0.628 0.300 0.832
0.628 0.796 0.328
0.633 0.466 0.167
0.756 0.666 0.090
0.770 0.128 0.642
0.777 0.175 0.276
0.777 0.501 0.602
0.799 0.466 0.333
0.923 0.334 0.590
0.969 0.300 0.172
0.969 0.796 0.668
0.986 0.128 0.858
```

No. 13
Crystalline GdBe at its relaxed geometry, computed with PBE.

The distance to the lowest polymorph of the same formula comes out at 0.485 eV/atom. Its space group is P6_3/mmc (194).

Geometry as POSCAR:
```
GdBe
1.0
3.619 0.000 0.000
-1.810 3.135 0.000
0.000 0.000 8.188
Gd Be
2 2
Direct
0.000 0.000 0.000
0.000 0.000 0.500
0.333 0.667 0.250
0.667 0.333 0.750
```

No. 14
Crystalline Ni3H4 at its relaxed geometry, computed with PBE.

The calculation puts the electronic total energy at -4.318 eV per atom. Its space group is C2/m (12).

Geometry as POSCAR:
```
Ni3H4
1.0
4.836 -1.302 0.000
4.836 1.302 0.000
-1.264 0.000 6.515
Ni H
6 8
Direct
0.060 0.060 0.280
0.195 0.195 0.651
0.366 0.366 0.023
0.634 0.634 0.977
0.805 0.805 0.349
0.940 0.940 0.720
0.000 0.000 0.000
0.000 0.000 0.500
0.218 0.218 0.150
0.348 0.348 0.560
0.436 0.436 0.274
0.564 0.564 0.726
0.652 0.652 0.440
0.782 0.782 0.850
```

No. 15
Crystalline CoSnIr2 at its relaxed geometry, computed with PBE.

The calculation puts the electronic total energy at -6.952 eV per atom. Its space group is F-43m (216).

Geometry as POSCAR:
```
CoSnIr2
1.0
0.000 3.133 3.133
3.133 0.000 3.133
3.133 3.133 0.000
Co Sn Ir
1 1 2
Direct
0.000 0.000 0.000
0.750 0.750 0.750
0.250 0.250 0.250
0.500 0.500 0.500
```

No. 16
Crystalline SrLuNO at its relaxed geometry, computed with PBE.

The distance to the lowest polymorph of the same formula comes out at 0.073 eV/atom. Its space group is Pmc2_1 (26).

Geometry as POSCAR:
```
SrLuNO
1.0
3.789 0.000 0.000
0.000 6.917 0.000
0.000 0.000 5.752
Sr Lu N O
2 2 2 2
Direct
0.000 0.165 0.000
0.000 0.835 0.500
0.500 0.342 0.516
0.500 0.658 0.016
0.000 0.196 0.441
0.000 0.804 0.941
0.500 0.368 0.885
0.500 0.632 0.385
```

No. 17
Crystalline LaGdCd at its relaxed geometry, computed with PBE.

The distance to the lowest polymorph of the same formula comes out at 0.000 eV/atom. The formation energy comes out at 0.9 eV per formula unit. Its space group is F-43m (216).

Geometry as POSCAR:
```
LaGdCd
1.0
0.000 3.622 3.622
3.622 0.000 3.622
3.622 3.622 0.000
La Gd Cd
1 1 1
Direct
0.000 0.000 0.000
0.750 0.750 0.750
0.500 0.500 0.500
```

No. 18
Crystalline Rb2YPtBr6 at its relaxed geometry, computed with PBE.

The calculation puts the electronic total energy at -3.713 eV per atom. Its space group is Fm-3m (225).

Geometry as POSCAR:
```
Rb2YPtBr6
1.0
0.000 5.524 5.524
5.524 0.000 5.524
5.524 5.524 0.000
Rb Y Pt Br
2 1 1 6
Direct
0.250 0.250 0.250
0.750 0.750 0.750
0.000 0.000 0.000
0.500 0.500 0.500
0.253 0.253 0.747
0.253 0.747 0.253
0.253 0.747 0.747
0.747 0.253 0.253
0.747 0.253 0.747
0.747 0.747 0.253
```

No. 19
Crystalline BaPrGeSe3 at its relaxed geometry, computed with PBE.

The calculation puts the electronic total energy at -4.899 eV per atom. Its space group is Cmcm (63).

Geometry as POSCAR:
```
BaPrGeSe3
1.0
2.236 -7.812 0.000
2.236 7.812 0.000
0.000 0.000 10.254
Ba Pr Ge Se
2 2 2 6
Direct
0.242 0.758 0.750
0.758 0.242 0.250
0.000 0.000 0.000
0.000 0.000 0.500
0.465 0.535 0.250
0.535 0.465 0.750
0.111 0.889 0.250
0.366 0.634 0.049
0.366 0.634 0.451
0.634 0.366 0.549
0.634 0.366 0.951
0.889 0.111 0.750
```

No. 20
Crystalline Gd2HoAl3Si2Pd at its relaxed geometry, computed with PBE.

The calculation puts the electronic total energy at -5.363 eV per atom. Its space group is Amm2 (38).

Geometry as POSCAR:
```
Gd2HoAl3Si2Pd
1.0
4.268 0.000 0.000
0.000 5.985 3.459
0.000 -5.985 3.459
Gd Ho Al Si Pd
2 1 3 2 1
Direct
0.000 0.209 0.791
0.000 0.791 0.209
0.000 0.626 0.626
0.500 0.210 0.448
0.500 0.448 0.210
0.500 0.971 0.971
0.500 0.544 0.873
0.500 0.873 0.544
0.000 0.213 0.213
```